Compound: YRe2Au
Source: the Alexandria database
Functional: PBE-GGA
Structure: relaxed

Cell lengths 2.7995, 2.7995, 9.1505 Å; angles 90.00, 90.00, 90.00 degrees
Positions (direct):
1 Y 0.0000 0.0000 0.0000
2 Re 0.5000 0.5000 0.2672
3 Re 0.5000 0.5000 0.7328
4 Au 0.0000 0.0000 0.5000

Summary:
Crystal system = tetragonal
Total moment = 0.00 μB/f.u.

Compound: YRe2Au
Source: the Alexandria database
Functional: PBE-GGA
Structure: relaxed

Cell lengths 5.7172, 5.7172, 5.7172 Å; angles 44.66, 44.66, 44.66 degrees
Positions (direct):
1 Y 0.0000 0.0000 0.0000
2 Re 0.2030 0.2030 0.2030
3 Re 0.5281 0.5281 0.5281
4 Au 0.7795 0.7795 0.7795

Summary:
Crystal system = trigonal
Total moment = 0.00 μB/f.u.

Number 1: E -8.04 eV/atom, energy above the lowest structure with this stoichiometry 554 meV per atom, ΔE_f 619 meV per atom. Number 2: E -8.59 eV/atom, energy above the lowest structure with this stoichiometry 0 meV per atom, ΔE_f 65 meV per atom.